(1)
## La2TlH (PBE-GGA)

Data for La2TlH after structural relaxation.

Output
**ΔE to the lowest computed polymorph**: 137 meV per atom
**Density**: 7.80 g cm⁻³
**DFT total energy**: -50.5 eV for the cell shown
**D(E_F)**: 10.3 states/eV per cell

```
data_La2TlH
_chemical_formula_sum 'La6 Tl3 H3'
_space_group_name_H-M_alt 'R 3 m'
_space_group_IT_number 160
_space_group_name_Hall 'R 3 -2"'
_cell_length_a 3.7808
_cell_length_b 3.7808
_cell_length_c 24.9192
_cell_angle_alpha 90.00
_cell_angle_beta 90.00
_cell_angle_gamma 120.00
loop_
_atom_site_label
_atom_site_type_symbol
_atom_site_fract_x
_atom_site_fract_y
_atom_site_fract_z
La1 La 0.0000 0.0000 0.0000
La2 La 0.0000 0.0000 0.2149
Tl1 Tl 0.0000 0.0000 0.7743
H1 H 0.0000 0.0000 0.6089
```

(2)
## LaTlH (PBE-GGA)

Data for LaTlH after structural relaxation.

Output
**ΔE to the lowest computed polymorph**: 0 meV per atom
**Density**: 8.75 g cm⁻³
**DFT total energy**: -24.3 eV for the cell shown
**D(E_F)**: 2.8 states/eV per cell

```
data_LaTlH
_chemical_formula_sum 'La2 Tl2 H2'
_space_group_name_H-M_alt 'P 1 21/m 1'
_space_group_IT_number 11
_cell_length_a 4.223
_cell_length_b 4.667
_cell_length_c 6.953
_cell_angle_alpha 90.00
_cell_angle_beta 107.65
_cell_angle_gamma 90.00
loop_
_space_group_symop_operation_xyz
'x,y,z'
'-x,-y,-z'
'-x,y+1/2,-z'
'x,-y+1/2,z'
loop_
_atom_site_label
_atom_site_type_symbol
_atom_site_fract_x
_atom_site_fract_y
_atom_site_fract_z
La1 La 0.164 0.250 0.327
Tl1 Tl 0.430 0.250 0.863
H1 H 0.245 0.750 0.489
```

(3)
## La2TlH (PBE-GGA)

Data for La2TlH after structural relaxation.

Output
**ΔE to the lowest computed polymorph**: 364 meV per atom
**Density**: 7.37 g cm⁻³
**DFT total energy**: -63.6 eV for the cell shown
**D(E_F)**: 13.4 states/eV per cell

```
data_La2TlH
_chemical_formula_sum 'La8 Tl4 H4'
_space_group_name_H-M_alt 'F m -3 m'
_space_group_IT_number 225
_space_group_name_Hall '-F 4 2 3'
_cell_length_a 7.581
_cell_length_b 7.581
_cell_length_c 7.581
_cell_angle_alpha 90.00
_cell_angle_beta 90.00
_cell_angle_gamma 90.00
loop_
_atom_site_label
_atom_site_type_symbol
_atom_site_fract_x
_atom_site_fract_y
_atom_site_fract_z
La1 La 0.250 0.250 0.250
Tl1 Tl 0.000 0.000 0.000
H1 H 0.000 0.000 0.500
```